1.
VASP calculation (PBE-GGA) on a relaxed structure of K2LiMo.

a b c (Å): 2.937 4.611 10.032
angles (deg): 90.00 90.00 90.00
Positions (direct):
K  0.000  0.000  0.000
K  0.500  0.500  0.408
Li  0.000  0.000  0.669
Mo  0.500  0.500  0.749

Energy of formation (eV/atom): 1.01
Total magnetization (μB/cell): 2.41
Energy above the most stable polymorph in this dataset (eV/f.u.): 0.00
Symmetry: Pmm2
DOS at the Fermi energy (states/eV/f.u.): 2.87
Raw total energy (eV per atom): -2.7207
V (Å³/atom): 33.961

=====

2.
VASP calculation (PBE-GGA) on a relaxed structure of KLaZrRu2.

a b c (Å): 4.912 4.912 4.728
angles (deg): 90.00 90.00 90.00
Positions (direct):
K  0.000  0.000  0.000
La  0.500  0.500  0.500
Zr  0.000  0.000  0.500
Ru  0.000  0.500  0.000
Ru  0.500  0.000  0.000

Energy of formation (eV/atom): 1.84
Total magnetization (μB/cell): 0.00
Symmetry: P4/mmm
DOS at the Fermi energy (states/eV/f.u.): 6.21
Raw total energy (eV per atom): -4.7850
V (Å³/atom): 22.818

=====

3.
VASP calculation (PBE-GGA) on a relaxed structure of ThTlHg2.

a b c (Å): 3.835 3.835 7.418
angles (deg): 90.00 90.00 90.00
Positions (direct):
Th  0.000  0.000  0.000
Tl  0.000  0.000  0.500
Hg  0.500  0.500  0.252
Hg  0.500  0.500  0.748

Energy of formation (eV/atom): -0.13
Total magnetization (μB/cell): 0.00
Symmetry: P4/mmm
DOS at the Fermi energy (states/eV/f.u.): 3.14
Raw total energy (eV per atom): -2.7229
V (Å³/atom): 27.271

=====

4.
VASP calculation (PBE-GGA) on a relaxed structure of RbPuTaO6.

a b c (Å): 7.626 7.626 7.626
angles (deg): 121.24 118.47 90.26
Positions (direct):
Rb  0.359  0.109  0.250
Rb  0.641  0.891  0.750
Pu  0.000  0.500  0.500
Pu  0.500  0.500  0.000
Ta  0.000  0.000  0.500
Ta  0.000  0.500  0.000
O  0.057  0.807  0.250
O  0.059  0.430  0.238
O  0.059  0.820  0.629
O  0.309  0.180  0.738
O  0.309  0.570  0.129
O  0.322  0.572  0.750
O  0.678  0.428  0.250
O  0.691  0.430  0.871
O  0.691  0.820  0.262
O  0.941  0.180  0.371
O  0.941  0.570  0.762
O  0.943  0.193  0.750

Formation energy from raw total energies (eV/atom): -2.578
Total magnetization (μB/cell): 4.00
Symmetry: Imma
DOS at the Fermi energy (states/eV/f.u.): 4.66
Raw total energy (eV per atom): -8.9002
V (Å³/atom): 17.446